[1]
Below is a relaxed structure of CuSb2Ir2, with properties calculated at the PBE level.

```
data_CuSb2Ir2
_chemical_formula_sum 'Cu2 Sb4 Ir4'
_cell_length_a 7.066
_cell_length_b 7.066
_cell_length_c 3.671
_cell_angle_alpha 90.00
_cell_angle_beta 90.00
_cell_angle_gamma 90.00
_symmetry_space_group_name_H-M 'P 4/m b m'
_symmetry_Int_Tables_number 127
_symmetry_space_group_name_Hall '-P 4 2ab'
loop_
_atom_site_label
_atom_site_fract_x
_atom_site_fract_y
_atom_site_fract_z
Cu1 0.000 0.000 0.000
Sb1 0.163 0.337 0.500
Ir1 0.141 0.641 0.000
```

- DOS at the Fermi energy (states/eV per atom) = 0.789
- electronic total energy (eV/atom) = -5.85
- V (Å³/atom) = 18.3
- magnetic moment (μB/atom) = 0.000
- mass density (g/cm3) = 12.529
- formation energy (no corrections) (eV per atom) = 0.17

---

[2]
Below is a relaxed structure of Cu2SbIr, with properties calculated at the PBE level.

```
data_Cu2SbIr
_chemical_formula_sum 'Cu4 Sb2 Ir2'
_cell_length_a 3.904
_cell_length_b 3.904
_cell_length_c 7.841
_cell_angle_alpha 90.00
_cell_angle_beta 90.00
_cell_angle_gamma 90.00
_symmetry_space_group_name_H-M 'I -4 m 2'
_symmetry_Int_Tables_number 119
_symmetry_space_group_name_Hall 'I -4 -2'
loop_
_atom_site_label
_atom_site_fract_x
_atom_site_fract_y
_atom_site_fract_z
Cu1 0.000 0.000 0.000
Cu2 0.000 0.500 0.250
Sb1 0.000 0.000 0.500
Ir1 0.000 0.500 0.750
```

- DOS at the Fermi energy (states/eV per atom) = 0.489
- electronic total energy (eV/atom) = -5.25
- V (Å³/atom) = 14.9
- magnetic moment (μB/atom) = 0.000
- mass density (g/cm3) = 12.257
- formation energy (no corrections) (eV per atom) = 0.04

---

[3]
Below is a relaxed structure of Cu2SbIr, with properties calculated at the PBE level.

```
data_Cu2SbIr
_chemical_formula_sum 'Cu4 Sb2 Ir2'
_cell_length_a 3.018
_cell_length_b 4.972
_cell_length_c 8.785
_cell_angle_alpha 90.00
_cell_angle_beta 90.00
_cell_angle_gamma 90.00
_symmetry_space_group_name_H-M 'C m m m'
_symmetry_Int_Tables_number 65
_symmetry_space_group_name_Hall '-C 2 2'
loop_
_atom_site_label
_atom_site_fract_x
_atom_site_fract_y
_atom_site_fract_z
Cu1 0.000 0.000 0.234
Sb1 0.000 0.500 0.500
Ir1 0.000 0.500 0.000
```

- DOS at the Fermi energy (states/eV per atom) = 1.193
- electronic total energy (eV/atom) = -4.79
- V (Å³/atom) = 16.5
- magnetic moment (μB/atom) = 0.082
- mass density (g/cm3) = 11.112
- formation energy (no corrections) (eV per atom) = 0.50

---

[4]
Below is a relaxed structure of Cu2SbIr, with properties calculated at the PBE level.

```
data_Cu2SbIr
_chemical_formula_sum 'Cu4 Sb2 Ir2'
_cell_length_a 5.302
_cell_length_b 9.347
_cell_length_c 3.104
_cell_angle_alpha 90.00
_cell_angle_beta 123.32
_cell_angle_gamma 90.00
_symmetry_space_group_name_H-M 'C 1 2/m 1'
_symmetry_Int_Tables_number 12
_symmetry_space_group_name_Hall '-C 2y'
loop_
_atom_site_label
_atom_site_fract_x
_atom_site_fract_y
_atom_site_fract_z
Cu1 0.250 0.250 0.000
Sb1 0.000 0.000 0.000
Ir1 0.000 0.500 0.000
```

- DOS at the Fermi energy (states/eV per atom) = 0.483
- electronic total energy (eV/atom) = -5.05
- V (Å³/atom) = 16.1
- magnetic moment (μB/atom) = 0.000
- mass density (g/cm3) = 11.396
- formation energy (no corrections) (eV per atom) = 0.24

---

[5]
Below is a relaxed structure of Cu2SbIr, with properties calculated at the PBE level.

```
data_Cu2SbIr
_chemical_formula_sum 'Cu4 Sb2 Ir2'
_cell_length_a 2.999
_cell_length_b 4.997
_cell_length_c 8.790
_cell_angle_alpha 90.00
_cell_angle_beta 90.00
_cell_angle_gamma 90.00
_symmetry_space_group_name_H-M 'C m m 2'
_symmetry_Int_Tables_number 35
_symmetry_space_group_name_Hall 'C 2 -2'
loop_
_atom_site_label
_atom_site_fract_x
_atom_site_fract_y
_atom_site_fract_z
Cu1 0.000 0.000 0.000
Cu2 0.000 0.500 0.219
Sb1 0.000 0.500 0.717
Ir1 0.000 0.000 0.456
```

- DOS at the Fermi energy (states/eV per atom) = 0.524
- electronic total energy (eV/atom) = -4.84
- V (Å³/atom) = 16.5
- magnetic moment (μB/atom) = 0.000
- mass density (g/cm3) = 11.121
- formation energy (no corrections) (eV per atom) = 0.46

---

[6]
Below is a relaxed structure of CuSbIr3, with properties calculated at the PBE level.

```
data_CuSbIr3
_chemical_formula_sum 'Cu1 Sb1 Ir3'
_cell_length_a 4.524
_cell_length_b 4.524
_cell_length_c 4.524
_cell_angle_alpha 90.00
_cell_angle_beta 90.00
_cell_angle_gamma 90.00
_symmetry_space_group_name_H-M 'P m -3 m'
_symmetry_Int_Tables_number 221
_symmetry_space_group_name_Hall '-P 4 2 3'
loop_
_atom_site_label
_atom_site_fract_x
_atom_site_fract_y
_atom_site_fract_z
Cu1 0.000 0.000 0.000
Sb1 0.500 0.500 0.500
Ir1 0.000 0.000 0.500
```

- offset from the most stable computed form (eV per atom) = 0.000
- DOS at the Fermi energy (states/eV per atom) = 1.751
- electronic total energy (eV/atom) = -5.64
- V (Å³/atom) = 18.5
- magnetic moment (μB/atom) = 0.000
- mass density (g/cm3) = 13.663
- formation energy (no corrections) (eV per atom) = 1.32

---

[7]
Below is a relaxed structure of Cu2SbIr, with properties calculated at the PBE level.

```
data_Cu2SbIr
_chemical_formula_sum 'Cu8 Sb4 Ir4'
_cell_length_a 6.252
_cell_length_b 6.252
_cell_length_c 6.252
_cell_angle_alpha 90.00
_cell_angle_beta 90.00
_cell_angle_gamma 90.00
_symmetry_space_group_name_H-M 'F -4 3 m'
_symmetry_Int_Tables_number 216
_symmetry_space_group_name_Hall 'F -4 2 3'
loop_
_atom_site_label
_atom_site_fract_x
_atom_site_fract_y
_atom_site_fract_z
Cu1 0.000 0.000 0.000
Cu2 0.250 0.250 0.250
Sb1 0.000 0.000 0.500
Ir1 0.250 0.250 0.750
```

- DOS at the Fermi energy (states/eV per atom) = 0.770
- electronic total energy (eV/atom) = -5.17
- V (Å³/atom) = 15.3
- magnetic moment (μB/atom) = 0.000
- mass density (g/cm3) = 11.991
- formation energy (no corrections) (eV per atom) = 0.12

---

[8]
Below is a relaxed structure of Cu2SbIr, with properties calculated at the PBE level.

```
data_Cu2SbIr
_chemical_formula_sum 'Cu2 Sb1 Ir1'
_cell_length_a 2.996
_cell_length_b 4.493
_cell_length_c 4.760
_cell_angle_alpha 90.00
_cell_angle_beta 93.92
_cell_angle_gamma 90.00
_symmetry_space_group_name_H-M 'P 1 2/m 1'
_symmetry_Int_Tables_number 10
_symmetry_space_group_name_Hall '-P 2y'
loop_
_atom_site_label
_atom_site_fract_x
_atom_site_fract_y
_atom_site_fract_z
Cu1 0.160 0.000 0.274
Sb1 0.000 0.500 0.000
Ir1 0.500 0.500 0.500
```

- DOS at the Fermi energy (states/eV per atom) = 0.680
- electronic total energy (eV/atom) = -5.03
- V (Å³/atom) = 16.0
- magnetic moment (μB/atom) = 0.000
- mass density (g/cm3) = 11.458
- formation energy (no corrections) (eV per atom) = 0.27

---

[9]
Below is a relaxed structure of Cu2SbIr, with properties calculated at the PBE level.

```
data_Cu2SbIr
_chemical_formula_sum 'Cu4 Sb2 Ir2'
_cell_length_a 3.809
_cell_length_b 3.809
_cell_length_c 8.362
_cell_angle_alpha 90.00
_cell_angle_beta 90.00
_cell_angle_gamma 90.00
_symmetry_space_group_name_H-M 'I 4/m m m'
_symmetry_Int_Tables_number 139
_symmetry_space_group_name_Hall '-I 4 2'
loop_
_atom_site_label
_atom_site_fract_x
_atom_site_fract_y
_atom_site_fract_z
Cu1 0.000 0.500 0.250
Sb1 0.000 0.000 0.000
Ir1 0.000 0.000 0.500
```

- DOS at the Fermi energy (states/eV per atom) = 0.339
- electronic total energy (eV/atom) = -5.20
- V (Å³/atom) = 15.2
- magnetic moment (μB/atom) = 0.000
- mass density (g/cm3) = 12.072
- formation energy (no corrections) (eV per atom) = 0.09

---

[10]
Below is a relaxed structure of Cu2SbIr, with properties calculated at the PBE level.

```
data_Cu2SbIr
_chemical_formula_sum 'Cu2 Sb1 Ir1'
_cell_length_a 3.121
_cell_length_b 3.763
_cell_length_c 5.272
_cell_angle_alpha 90.00
_cell_angle_beta 90.00
_cell_angle_gamma 90.00
_symmetry_space_group_name_H-M 'P m m m'
_symmetry_Int_Tables_number 47
_symmetry_space_group_name_Hall '-P 2 2'
loop_
_atom_site_label
_atom_site_fract_x
_atom_site_fract_y
_atom_site_fract_z
Cu1 0.000 0.000 0.235
Sb1 0.500 0.500 0.500
Ir1 0.500 0.500 0.000
```

- DOS at the Fermi energy (states/eV per atom) = 0.662
- electronic total energy (eV/atom) = -5.10
- V (Å³/atom) = 15.5
- magnetic moment (μB/atom) = 0.000
- mass density (g/cm3) = 11.830
- formation energy (no corrections) (eV per atom) = 0.20

---

[11]
Below is a relaxed structure of Cu3SbIr, with properties calculated at the PBE level.

```
data_Cu3SbIr
_chemical_formula_sum 'Cu3 Sb1 Ir1'
_cell_length_a 4.657
_cell_length_b 4.657
_cell_length_c 4.657
_cell_angle_alpha 90.00
_cell_angle_beta 90.00
_cell_angle_gamma 90.00
_symmetry_space_group_name_H-M 'P m -3 m'
_symmetry_Int_Tables_number 221
_symmetry_space_group_name_Hall '-P 4 2 3'
loop_
_atom_site_label
_atom_site_fract_x
_atom_site_fract_y
_atom_site_fract_z
Cu1 0.000 0.000 0.500
Sb1 0.500 0.500 0.500
Ir1 0.000 0.000 0.000
```

- offset from the most stable computed form (eV per atom) = 0.000
- DOS at the Fermi energy (states/eV per atom) = 1.041
- electronic total energy (eV/atom) = -4.12
- V (Å³/atom) = 20.2
- magnetic moment (μB/atom) = 0.000
- mass density (g/cm3) = 8.295
- formation energy (no corrections) (eV per atom) = 0.94

---

[12]
Below is a relaxed structure of Sr2Cu3Sb4Ir, with properties calculated at the PBE level.

```
data_Sr2Cu3Sb4Ir
_chemical_formula_sum 'Sr2 Cu3 Sb4 Ir1'
_cell_length_a 4.690
_cell_length_b 4.690
_cell_length_c 10.452
_cell_angle_alpha 90.00
_cell_angle_beta 90.00
_cell_angle_gamma 90.00
_symmetry_space_group_name_H-M 'P -4 m 2'
_symmetry_Int_Tables_number 115
_symmetry_space_group_name_Hall 'P -4 -2'
loop_
_atom_site_label
_atom_site_fract_x
_atom_site_fract_y
_atom_site_fract_z
Sr1 0.000 0.500 0.240
Cu1 0.000 0.000 0.000
Cu2 0.000 0.500 0.629
Sb1 0.000 0.000 0.500
Sb2 0.000 0.500 0.877
Sb3 0.500 0.500 0.500
Ir1 0.500 0.500 0.000
```

- DOS at the Fermi energy (states/eV per atom) = 0.392
- electronic total energy (eV/atom) = -4.51
- V (Å³/atom) = 23.0
- magnetic moment (μB/atom) = 0.000
- mass density (g/cm3) = 7.549
- formation energy (no corrections) (eV per atom) = -0.41

---

> Among the records above, which one has the highest magnetic moment?

number 3

---

> Look up the magnetic moment of the seventh one.

0.000 μB/atom

---

> Look up the magnetic moment of the sixth one.

0.000 μB/atom

---

> Which of these has the lowest formation energy (no corrections)?

Sr2Cu3Sb4Ir